(1)
{"formula": "Ba6Mg7F26", "functional": "PBE-GGA", "state": "relaxed", "space_group": "Immm (71)", "mass_density_g_cm3": 4.4, "e_form_raw_ev_per_fu": -144.1, "dos_at_fermi_per_ev_cell": 0.00, "cell": [[5.921, 0.000, 0.000], [2.961, 9.842, 0.011], [2.961, 2.172, 9.600]], "species": ["F", "F", "F", "F", "F", "F", "F", "F", "F", "F", "F", "F", "F", "F", "F", "F", "F", "F", "F", "F", "F", "F", "F", "F", "F", "F", "Ba", "Ba", "Ba", "Ba", "Ba", "Ba", "Mg", "Mg", "Mg", "Mg", "Mg", "Mg", "Mg"], "fractional_positions": [[0.010, 0.644, 0.872], [0.474, 0.644, 0.872], [0.750, 0.388, 0.612], [0.526, 0.128, 0.356], [0.745, 0.836, 0.164], [0.750, 0.612, 0.388], [0.990, 0.128, 0.356], [0.371, 0.629, 0.629], [0.474, 0.872, 0.644], [0.874, 0.408, 0.844], [0.990, 0.356, 0.128], [0.588, 0.912, 0.912], [0.010, 0.872, 0.644], [0.255, 0.836, 0.164], [0.412, 0.088, 0.088], [0.126, 0.156, 0.592], [0.629, 0.371, 0.371], [0.126, 0.592, 0.156], [0.255, 0.164, 0.836], [0.874, 0.844, 0.408], [0.250, 0.612, 0.388], [0.089, 0.911, 0.911], [0.250, 0.388, 0.612], [0.911, 0.089, 0.089], [0.745, 0.164, 0.836], [0.526, 0.356, 0.128], [0.649, 0.613, 0.089], [0.351, 0.911, 0.387], [0.649, 0.089, 0.613], [0.148, 0.352, 0.352], [0.351, 0.387, 0.911], [0.852, 0.648, 0.648], [0.000, 0.731, 0.269], [0.780, 0.220, 0.220], [0.000, 0.269, 0.731], [0.220, 0.780, 0.780], [0.253, 0.000, 0.000], [0.500, 0.500, 0.500], [0.747, 0.000, 0.000]]}

(2)
{"formula": "Ba3Mg5F12", "functional": "PBE-GGA", "state": "relaxed", "space_group": "Ia-3d (230)", "mass_density_g_cm3": 3.7, "e_form_raw_ev_per_fu": -60.2, "dos_at_fermi_per_ev_cell": 13.24, "cell": [[12.125, 0.000, 0.000], [-4.042, 11.432, 0.000], [-4.042, -5.716, 9.900]], "species": ["F", "F", "F", "F", "F", "F", "F", "F", "F", "F", "F", "F", "F", "F", "F", "F", "F", "F", "F", "F", "F", "F", "F", "F", "F", "F", "F", "F", "F", "F", "F", "F", "F", "F", "F", "F", "F", "F", "F", "F", "F", "F", "F", "F", "F", "F", "F", "F", "Mg", "Mg", "Mg", "Mg", "Mg", "Mg", "Mg", "Mg", "Mg", "Mg", "Mg", "Mg", "Mg", "Mg", "Mg", "Mg", "Mg", "Mg", "Mg", "Mg", "Ba", "Ba", "Ba", "Ba", "Ba", "Ba", "Ba", "Ba", "Ba", "Ba", "Ba", "Ba"], "fractional_positions": [[0.571, 0.891, 0.397], [0.826, 0.929, 0.320], [0.494, 0.674, 0.103], [0.174, 0.071, 0.680], [0.820, 0.326, 0.929], [0.820, 0.494, 0.391], [0.891, 0.571, 0.897], [0.391, 0.994, 0.820], [0.071, 0.897, 0.391], [0.326, 0.506, 0.397], [0.680, 0.109, 0.006], [0.603, 0.994, 0.674], [0.071, 0.174, 0.180], [0.891, 0.320, 0.494], [0.320, 0.891, 0.994], [0.174, 0.103, 0.994], [0.109, 0.429, 0.103], [0.180, 0.506, 0.609], [0.326, 0.820, 0.429], [0.180, 0.674, 0.071], [0.826, 0.897, 0.006], [0.494, 0.820, 0.891], [0.994, 0.603, 0.174], [0.397, 0.391, 0.571], [0.929, 0.103, 0.609], [0.929, 0.826, 0.820], [0.397, 0.006, 0.326], [0.006, 0.609, 0.680], [0.897, 0.071, 0.891], [0.571, 0.680, 0.674], [0.603, 0.609, 0.429], [0.680, 0.571, 0.174], [0.429, 0.109, 0.603], [0.006, 0.397, 0.826], [0.506, 0.326, 0.897], [0.609, 0.006, 0.180], [0.994, 0.391, 0.320], [0.103, 0.929, 0.109], [0.674, 0.494, 0.603], [0.103, 0.174, 0.494], [0.391, 0.397, 0.071], [0.109, 0.680, 0.506], [0.897, 0.826, 0.506], [0.429, 0.320, 0.326], [0.674, 0.180, 0.571], [0.609, 0.603, 0.929], [0.506, 0.180, 0.109], [0.320, 0.429, 0.826], [0.625, 0.750, 0.875], [0.625, 0.875, 0.250], [0.750, 0.625, 0.375], [0.875, 0.250, 0.625], [0.500, 0.000, 0.000], [0.750, 0.125, 0.875], [0.250, 0.875, 0.125], [0.250, 0.375, 0.625], [0.875, 0.625, 0.750], [0.000, 0.500, 0.000], [0.000, 0.000, 0.500], [0.125, 0.375, 0.250], [0.500, 0.500, 0.000], [0.500, 0.000, 0.500], [0.375, 0.250, 0.125], [0.125, 0.750, 0.375], [0.500, 0.500, 0.500], [0.000, 0.000, 0.000], [0.375, 0.125, 0.750], [0.000, 0.500, 0.500], [0.125, 0.250, 0.875], [0.750, 0.375, 0.125], [0.125, 0.875, 0.750], [0.375, 0.625, 0.250], [0.625, 0.250, 0.375], [0.250, 0.125, 0.375], [0.750, 0.875, 0.625], [0.625, 0.375, 0.750], [0.875, 0.750, 0.125], [0.375, 0.750, 0.625], [0.250, 0.625, 0.875], [0.875, 0.125, 0.250]]}

(3)
{"formula": "BaMgF2", "functional": "PBE-GGA", "state": "relaxed", "space_group": "R-3m (166)", "mass_density_g_cm3": 3.4, "e_form_raw_ev_per_fu": -10.5, "dos_at_fermi_per_ev_cell": 0.00, "cell": [[2.524, 0.000, 5.924], [-1.262, 2.186, 5.924], [-1.262, -2.186, 5.924]], "species": ["Mg", "Ba", "F", "F"], "fractional_positions": [[0.000, 0.000, 0.000], [0.500, 0.500, 0.500], [0.886, 0.886, 0.886], [0.114, 0.114, 0.114]]}